Version w
# Tb5Nd2Ho2 | the Alexandria database | PBE | relaxed
# magnetic moment: 0.00 μB/cell
data_Tb5Nd2Ho2
_cell_length_a 11.829
_cell_length_b 6.751
_cell_length_c 10.103
_cell_angle_alpha 109.52
_cell_angle_beta 125.83
_cell_angle_gamma 90.00
_space_group_name_H-M_alt 'P 1'
_space_group_IT_number 1
loop_
_space_group_symop_operation_xyz
'x,y,z'
loop_
_atom_site_label
_atom_site_type_symbol
_atom_site_fract_x
_atom_site_fract_y
_atom_site_fract_z
_atom_site_occupancy
Nd1 Nd 0.873 0.432 0.747 1
Nd2 Nd 0.627 0.186 0.253 1
Nd3 Nd 0.373 0.932 0.747 1
Nd4 Nd 0.127 0.686 0.253 1
Ho1 Ho 0.740 0.855 0.500 1
Ho2 Ho 0.500 0.520 0.000 1
Ho3 Ho 0.260 0.355 0.500 1
Ho4 Ho 0.000 0.020 0.000 1
Tb1 Tb 0.800 0.759 0.105 1
Tb2 Tb 0.195 0.155 0.895 1
Tb3 Tb 0.622 0.741 0.713 1
Tb4 Tb 0.994 0.159 0.500 1
Tb5 Tb 0.408 0.528 0.287 1
Tb6 Tb 0.592 0.241 0.713 1
Tb7 Tb 0.200 0.655 0.895 1
Tb8 Tb 0.805 0.259 0.105 1
Tb9 Tb 0.378 0.028 0.287 1
Tb10 Tb 0.006 0.659 0.500 1



Version x
# Tb5Nd2Ho2 | the Alexandria database | PBE | relaxed
# magnetic moment: 0.00 μB/cell
data_Tb5Nd2Ho2
_cell_length_a 3.500
_cell_length_b 8.226
_cell_length_c 12.602
_cell_angle_alpha 120.43
_cell_angle_beta 97.98
_cell_angle_gamma 90.00
_space_group_name_H-M_alt 'P 1'
_space_group_IT_number 1
loop_
_space_group_symop_operation_xyz
'x,y,z'
loop_
_atom_site_label
_atom_site_type_symbol
_atom_site_fract_x
_atom_site_fract_y
_atom_site_fract_z
_atom_site_occupancy
Tb1 Tb 0.905 0.545 0.810 1
Tb2 Tb 0.000 0.000 0.000 1
Tb3 Tb 0.095 0.455 0.190 1
Tb4 Tb 0.310 0.151 0.619 1
Tb5 Tb 0.690 0.849 0.381 1
Nd1 Nd 0.180 0.214 0.361 1
Nd2 Nd 0.820 0.786 0.639 1
Ho1 Ho 0.453 0.261 0.905 1
Ho2 Ho 0.547 0.739 0.095 1



Which of them is most stable, and which least? Most stable: version w; least stable: version x.



Version w
# Tb4Nd5Ho2 | the Alexandria database | PBE | relaxed
# magnetic moment: 0.00 μB/cell
data_Tb4Nd5Ho2
_cell_length_a 3.531
_cell_length_b 9.204
_cell_length_c 12.772
_cell_angle_alpha 111.12
_cell_angle_beta 97.94
_cell_angle_gamma 90.00
_space_group_name_H-M_alt 'P 1'
_space_group_IT_number 1
loop_
_space_group_symop_operation_xyz
'x,y,z'
loop_
_atom_site_label
_atom_site_type_symbol
_atom_site_fract_x
_atom_site_fract_y
_atom_site_fract_z
_atom_site_occupancy
Tb1 Tb 0.403 0.403 0.806 1
Tb2 Tb 0.000 0.690 0.000 1
Tb3 Tb 0.597 0.597 0.194 1
Tb4 Tb 0.000 0.310 0.000 1
Nd1 Nd 0.852 0.054 0.705 1
Nd2 Nd 0.500 0.000 0.000 1
Nd3 Nd 0.148 0.946 0.295 1
Nd4 Nd 0.148 0.350 0.295 1
Nd5 Nd 0.852 0.650 0.705 1
Ho1 Ho 0.730 0.730 0.460 1
Ho2 Ho 0.270 0.270 0.540 1



Version x
# Tb4Nd5Ho2 | the Alexandria database | PBE | relaxed
# magnetic moment: 0.00 μB/cell
data_Tb4Nd5Ho2
_cell_length_a 3.562
_cell_length_b 11.670
_cell_length_c 9.057
_cell_angle_alpha 93.94
_cell_angle_beta 101.34
_cell_angle_gamma 90.00
_space_group_name_H-M_alt 'P 1'
_space_group_IT_number 1
loop_
_space_group_symop_operation_xyz
'x,y,z'
loop_
_atom_site_label
_atom_site_type_symbol
_atom_site_fract_x
_atom_site_fract_y
_atom_site_fract_z
_atom_site_occupancy
Tb1 Tb 0.964 0.739 0.927 1
Tb2 Tb 0.359 0.205 0.719 1
Tb3 Tb 0.036 0.261 0.073 1
Tb4 Tb 0.641 0.795 0.281 1
Nd1 Nd 0.903 0.464 0.806 1
Nd2 Nd 0.177 0.071 0.354 1
Nd3 Nd 0.500 0.000 0.000 1
Nd4 Nd 0.823 0.929 0.646 1
Nd5 Nd 0.097 0.536 0.194 1
Ho1 Ho 0.284 0.646 0.568 1
Ho2 Ho 0.716 0.354 0.432 1



Which of them is most stable, and which least? Most stable: version x; least stable: version w.



Version w
# Tb6NdHo3 | the Alexandria database | PBE | relaxed
# magnetic moment: 0.00 μB/cell
data_Tb6NdHo3
_cell_length_a 9.820
_cell_length_b 9.820
_cell_length_c 6.892
_cell_angle_alpha 44.56
_cell_angle_beta 44.56
_cell_angle_gamma 60.00
_space_group_name_H-M_alt 'P 1'
_space_group_IT_number 1
loop_
_space_group_symop_operation_xyz
'x,y,z'
loop_
_atom_site_label
_atom_site_type_symbol
_atom_site_fract_x
_atom_site_fract_y
_atom_site_fract_z
_atom_site_occupancy
Tb1 Tb 0.232 0.902 0.297 1
Tb2 Tb 0.730 0.071 0.797 1
Tb3 Tb 0.402 0.730 0.797 1
Tb4 Tb 0.902 0.569 0.297 1
Tb5 Tb 0.569 0.232 0.297 1
Tb6 Tb 0.071 0.402 0.797 1
Ho1 Ho 0.151 0.151 0.547 1
Ho2 Ho 0.645 0.645 0.066 1
Ho3 Ho 0.399 0.399 0.804 1
Nd1 Nd 0.900 0.900 0.301 1



Version x
# Tb6NdHo3 | the Alexandria database | PBE | relaxed
# magnetic moment: 0.00 μB/cell
data_Tb6NdHo3
_cell_length_a 6.196
_cell_length_b 10.988
_cell_length_c 10.988
_cell_angle_alpha 119.71
_cell_angle_beta 90.00
_cell_angle_gamma 90.00
_space_group_name_H-M_alt 'P 1'
_space_group_IT_number 1
loop_
_space_group_symop_operation_xyz
'x,y,z'
loop_
_atom_site_label
_atom_site_type_symbol
_atom_site_fract_x
_atom_site_fract_y
_atom_site_fract_z
_atom_site_occupancy
Tb1 Tb 0.035 0.710 0.620 1
Tb2 Tb 0.866 0.463 0.043 1
Tb3 Tb 0.911 0.045 0.955 1
Tb4 Tb 0.141 0.718 0.282 1
Tb5 Tb 0.535 0.290 0.380 1
Tb6 Tb 0.535 0.620 0.710 1
Tb7 Tb 0.641 0.282 0.718 1
Tb8 Tb 0.411 0.955 0.045 1
Tb9 Tb 0.866 0.957 0.537 1
Tb10 Tb 0.366 0.043 0.463 1
Tb11 Tb 0.366 0.537 0.957 1
Tb12 Tb 0.035 0.380 0.290 1
Nd1 Nd 0.642 0.795 0.205 1
Nd2 Nd 0.142 0.205 0.795 1
Ho1 Ho 0.959 0.718 0.938 1
Ho2 Ho 0.073 0.389 0.611 1
Ho3 Ho 0.459 0.938 0.718 1
Ho4 Ho 0.959 0.062 0.282 1
Ho5 Ho 0.459 0.282 0.062 1
Ho6 Ho 0.573 0.611 0.389 1



Which of them is most stable, and which least? Most stable: version x; least stable: version w.